{
  "formula": "Nd6Si2SnI3",
  "functional": "GGA-PBE",
  "state": "relaxed",
  "lattice_angstrom": [[4.3971, 0.0000, 0.0000], [0.0000, 9.2398, 0.0775], [-2.1985, -2.9201, 9.5526]],
  "species": ["Nd", "Nd", "Nd", "Nd", "Nd", "Nd", "Sn", "I", "I", "I", "Si", "Si"],
  "frac_coords": [[0.9823, 0.7568, 0.9647], [0.0177, 0.2432, 0.0353], [0.3361, 0.8701, 0.6722], [0.3209, 0.4408, 0.6419], [0.6791, 0.5592, 0.3581], [0.6639, 0.1299, 0.3278], [0.5000, 0.0000, 0.0000], [0.5000, 0.5000, 0.0000], [0.8356, 0.1650, 0.6713], [0.1644, 0.8350, 0.3287], [0.1683, 0.3404, 0.3366], [0.8317, 0.6596, 0.6634]],
  "raw_formation_energy_mev_per_atom": -927,
  "magmom_total_mub_per_cell": 0.00,
  "e_tot_ry_per_atom": -0.3628
}


{
  "formula": "TbNdSiI",
  "functional": "GGA-PBE",
  "state": "relaxed",
  "lattice_angstrom": [[-2.1809, -0.7926, 3.5427], [4.1736, -0.7084, -0.1204], [1.3584, 7.9889, 0.0927]],
  "species": ["Tb", "Nd", "I", "Si"],
  "frac_coords": [[0.1000, 0.9480, 0.0633], [0.5059, 0.1509, 0.6721], [0.9612, 0.3786, 0.3550], [0.3107, 0.5533, 0.8792]],
  "raw_formation_energy_mev_per_atom": -912,
  "magmom_total_mub_per_cell": 0.00,
  "e_tot_ry_per_atom": -0.3679
}


{
  "formula": "Nd4SiTeI2",
  "functional": "GGA-PBE",
  "state": "relaxed",
  "lattice_angstrom": [[4.3831, 0.0000, 0.0000], [0.0000, 7.8471, 0.1738], [0.0000, -2.7083, 7.5246]],
  "species": ["Te", "Nd", "Nd", "Nd", "Nd", "I", "I", "Si"],
  "frac_coords": [[0.0000, 0.0000, 0.0000], [0.0000, 0.7087, 0.1994], [0.5000, 0.2690, 0.2070], [0.0000, 0.2913, 0.8006], [0.5000, 0.7310, 0.7930], [0.5000, 0.0000, 0.5000], [0.0000, 0.5000, 0.5000], [0.5000, 0.5000, 0.0000]],
  "raw_formation_energy_mev_per_atom": -1076,
  "magmom_total_mub_per_cell": 0.00,
  "e_tot_ry_per_atom": -0.3614
}


{
  "formula": "Nd6TlSi2I3",
  "functional": "GGA-PBE",
  "state": "relaxed",
  "lattice_angstrom": [[4.3304, 0.0000, 0.0000], [0.0000, 9.3427, 0.1511], [-2.1652, -2.8784, 9.5456]],
  "species": ["Si", "Si", "Nd", "Nd", "Nd", "Nd", "Nd", "Nd", "Tl", "I", "I", "I"],
  "frac_coords": [[0.8316, 0.6587, 0.6633], [0.1684, 0.3413, 0.3367], [0.9834, 0.7519, 0.9668], [0.3363, 0.8707, 0.6725], [0.6791, 0.5597, 0.3582], [0.0166, 0.2481, 0.0332], [0.6637, 0.1293, 0.3275], [0.3209, 0.4403, 0.6418], [0.5000, 0.0000, 0.0000], [0.5000, 0.5000, 0.0000], [0.1653, 0.8349, 0.3306], [0.8347, 0.1651, 0.6694]],
  "raw_formation_energy_mev_per_atom": -830,
  "magmom_total_mub_per_cell": 0.00,
  "e_tot_ry_per_atom": -0.3456
}